No. 1
{"formula": "HgBr", "functional": "GGA-PBEsol", "state": "relaxed", "polymorph_energy_mev_per_atom": 0, "formation_energy_uncorrected_ev_per_atom": -0.377, "space_group": "I4/mmm, No. 139", "lattice": [[-3.8687, -0.7000, -2.3475], [2.0667, -3.2884, -2.4254], [-0.7080, -1.8090, 6.1719]], "species": ["Hg", "Hg", "Br", "Br"], "fractional_positions": [[0.1157, 0.1157, 0.2313], [0.8843, 0.8843, 0.7687], [0.3459, 0.3459, 0.6918], [0.6541, 0.6541, 0.3082]]}

=====

No. 2
{"formula": "Hg3Br", "functional": "GGA-PBEsol", "state": "relaxed", "polymorph_energy_mev_per_atom": 0, "formation_energy_uncorrected_ev_per_atom": -0.103, "space_group": "Immm, No. 71", "lattice": [[3.9102, 0.0000, 0.0000], [1.9551, 5.3624, 0.1739], [1.9551, 1.8286, 5.0439]], "species": ["Hg", "Hg", "Hg", "Br"], "fractional_positions": [[0.2402, 0.2598, 0.2598], [0.5000, 0.5000, 0.5000], [0.7598, 0.7402, 0.7402], [0.0000, 0.0000, 0.0000]]}

=====

No. 3
{"formula": "Hg3Br", "functional": "GGA-PBEsol", "state": "relaxed", "polymorph_energy_mev_per_atom": 477, "formation_energy_uncorrected_ev_per_atom": 0.373, "space_group": "Pm-3m, No. 221", "lattice": [[6.1379, 0.0000, 0.0000], [0.0000, 6.1379, 0.0000], [0.0000, 0.0000, 6.1379]], "species": ["Hg", "Hg", "Hg", "Br"], "fractional_positions": [[0.5000, 0.0000, 0.0000], [0.0000, 0.5000, 0.0000], [0.0000, 0.0000, 0.5000], [0.0000, 0.0000, 0.0000]]}

=====

No. 4
{"formula": "Hg3Br", "functional": "GGA-PBEsol", "state": "relaxed", "polymorph_energy_mev_per_atom": 18, "formation_energy_uncorrected_ev_per_atom": -0.085, "space_group": "Cmcm, No. 63", "lattice": [[-0.5454, 1.2247, -3.4261], [-6.0388, -3.1377, -0.1602], [-0.8040, 8.7647, 3.2609]], "species": ["Br", "Br", "Hg", "Hg", "Hg", "Hg", "Hg", "Hg"], "fractional_positions": [[0.2500, 0.5843, 0.1686], [0.7500, 0.4157, 0.8314], [0.7500, 0.0663, 0.1326], [0.2500, 0.9337, 0.8674], [0.7500, 0.6019, 0.6201], [0.2500, 0.3981, 0.3799], [0.7500, 0.0182, 0.6201], [0.2500, 0.9818, 0.3799]]}

=====

No. 5
{"formula": "HgBr3", "functional": "GGA-PBEsol", "state": "relaxed", "formation_energy_uncorrected_ev_per_atom": -0.107, "space_group": "Cmmm, No. 65", "lattice": [[-0.7223, -2.8564, -2.5460], [5.3410, -0.1747, -1.3193], [-0.2014, -3.6315, 4.1314]], "species": ["Hg", "Br", "Br", "Br"], "fractional_positions": [[0.5000, 0.5000, 0.5000], [0.0000, 0.7143, 0.2857], [0.5000, 0.0000, 0.0000], [0.0000, 0.2857, 0.7143]]}

=====

No. 6
{"formula": "Hg24Br5", "functional": "GGA-PBEsol", "state": "relaxed", "formation_energy_uncorrected_ev_per_atom": -0.040, "space_group": "I-43m, No. 217", "lattice": [[9.7685, 0.0000, 0.0000], [-3.2562, 9.2098, 0.0000], [-3.2562, -4.6049, 7.9759]], "species": ["Br", "Br", "Br", "Br", "Br", "Hg", "Hg", "Hg", "Hg", "Hg", "Hg", "Hg", "Hg", "Hg", "Hg", "Hg", "Hg", "Hg", "Hg", "Hg", "Hg", "Hg", "Hg", "Hg", "Hg", "Hg", "Hg", "Hg", "Hg"], "fractional_positions": [[0.3729, 0.3729, 0.3729], [0.0000, 0.6271, 0.0000], [0.0000, 0.0000, 0.6271], [0.6271, 0.0000, 0.0000], [0.0000, 0.0000, 0.0000], [0.6357, 0.8228, 0.6357], [0.8130, 0.1772, 0.8130], [0.1870, 0.0000, 0.3643], [0.3643, 0.0000, 0.1870], [0.8228, 0.6357, 0.6357], [0.1772, 0.8130, 0.8130], [0.0000, 0.3643, 0.1870], [0.0000, 0.1870, 0.3643], [0.6357, 0.6357, 0.8228], [0.8130, 0.8130, 0.1772], [0.3643, 0.1870, 0.0000], [0.1870, 0.3643, 0.0000], [0.6159, 0.2925, 0.6159], [0.3234, 0.7075, 0.3234], [0.6766, 0.0000, 0.3841], [0.3841, 0.0000, 0.6766], [0.2925, 0.6159, 0.6159], [0.7075, 0.3234, 0.3234], [0.0000, 0.3841, 0.6766], [0.0000, 0.6766, 0.3841], [0.6159, 0.6159, 0.2925], [0.3234, 0.3234, 0.7075], [0.3841, 0.6766, 0.0000], [0.6766, 0.3841, 0.0000]]}

=====

No. 7
{"formula": "HgBr", "functional": "GGA-PBEsol", "state": "relaxed", "polymorph_energy_mev_per_atom": 132, "formation_energy_uncorrected_ev_per_atom": -0.245, "space_group": "Cmcm, No. 63", "lattice": [[3.6449, 0.0000, 0.0000], [0.0000, 5.5878, 0.0000], [0.0000, -2.7939, 5.2107]], "species": ["Hg", "Hg", "Br", "Br"], "fractional_positions": [[0.7500, 0.3987, 0.7975], [0.2500, 0.6013, 0.2025], [0.7500, 0.1510, 0.3021], [0.2500, 0.8490, 0.6979]]}

=====

No. 8
{"formula": "Hg5Br", "functional": "GGA-PBEsol", "state": "relaxed", "polymorph_energy_mev_per_atom": 38, "formation_energy_uncorrected_ev_per_atom": -0.048, "space_group": "Amm2, No. 38", "lattice": [[3.9622, 0.0000, 0.0000], [0.0000, 3.7017, 0.0000], [0.0000, -1.8508, 10.9803]], "species": ["Hg", "Hg", "Hg", "Hg", "Hg", "Br"], "fractional_positions": [[0.0000, 0.3358, 0.6716], [0.0000, 0.6145, 0.2290], [0.5000, 0.4331, 0.8662], [0.5000, 0.7749, 0.5497], [0.5000, 0.1685, 0.3369], [0.0000, 0.0066, 0.0132]]}

=====

No. 9
{"formula": "Hg2Br", "functional": "GGA-PBEsol", "state": "relaxed", "polymorph_energy_mev_per_atom": 0, "formation_energy_uncorrected_ev_per_atom": -0.188, "space_group": "P-3m1, No. 164", "lattice": [[-3.7132, 0.7206, -1.6045], [0.8064, -3.6197, 1.7689], [-1.7129, 1.9932, 4.8595]], "species": ["Hg", "Hg", "Br"], "fractional_positions": [[0.6667, 0.3333, 0.6456], [0.3333, 0.6667, 0.3544], [0.0000, 0.0000, 0.0000]]}

=====

No. 10
{"formula": "Hg3Br", "functional": "GGA-PBEsol", "state": "relaxed", "polymorph_energy_mev_per_atom": 19, "formation_energy_uncorrected_ev_per_atom": -0.085, "space_group": "P6_3/mmc, No. 194", "lattice": [[7.6194, 0.0000, 0.0000], [0.0000, 8.1451, 0.0000], [0.0000, -4.0726, 7.0539]], "species": ["Br", "Br", "Br", "Br", "Hg", "Hg", "Hg", "Hg", "Hg", "Hg", "Hg", "Hg", "Hg", "Hg", "Hg", "Hg"], "fractional_positions": [[0.0000, 0.0000, 0.0000], [0.5000, 0.0000, 0.0000], [0.7500, 0.6667, 0.3333], [0.2500, 0.3333, 0.6667], [0.0000, 0.5000, 0.5000], [0.5000, 0.5000, 0.5000], [0.0000, 0.0000, 0.5000], [0.0000, 0.5000, 0.0000], [0.5000, 0.5000, 0.0000], [0.5000, 0.0000, 0.5000], [0.7500, 0.1788, 0.8212], [0.2500, 0.8212, 0.1788], [0.7500, 0.6424, 0.8212], [0.7500, 0.1788, 0.3576], [0.2500, 0.8212, 0.6424], [0.2500, 0.3576, 0.1788]]}

=====

No. 11
{"formula": "HgBr3", "functional": "GGA-PBEsol", "state": "relaxed", "formation_energy_uncorrected_ev_per_atom": 0.246, "space_group": "P4/mmm, No. 123", "lattice": [[-2.3273, -1.4521, 2.3333], [3.7065, -3.2389, 1.6812], [1.4206, 3.4879, 3.5876]], "species": ["Hg", "Br", "Br", "Br"], "fractional_positions": [[0.0000, 0.0000, 0.0000], [0.5000, 0.0000, 0.5000], [0.5000, 0.5000, 0.0000], [0.0000, 0.5000, 0.5000]]}

=====

No. 12
{"formula": "Hg4Br", "functional": "GGA-PBEsol", "state": "relaxed", "polymorph_energy_mev_per_atom": 359, "formation_energy_uncorrected_ev_per_atom": 0.293, "space_group": "Im-3m, No. 229", "lattice": [[6.1043, 0.0000, 0.0000], [-2.0348, 5.7551, 0.0000], [-2.0348, -2.8776, 4.9841]], "species": ["Br", "Hg", "Hg", "Hg", "Hg"], "fractional_positions": [[0.0000, 0.0000, 0.0000], [0.0000, 0.0000, 0.5000], [0.0000, 0.5000, 0.0000], [0.5000, 0.0000, 0.0000], [0.5000, 0.5000, 0.5000]]}

=====

No. 13
{"formula": "Hg8Br", "functional": "GGA-PBEsol", "state": "relaxed", "formation_energy_uncorrected_ev_per_atom": -0.028, "space_group": "I4/mmm, No. 139", "lattice": [[-2.7372, 1.9094, 4.3118], [3.4176, -0.9221, 6.0254], [1.4706, 6.6821, 1.4220]], "species": ["Br", "Hg", "Hg", "Hg", "Hg", "Hg", "Hg", "Hg", "Hg"], "fractional_positions": [[0.0000, 0.0000, 0.0000], [0.3326, 0.0000, 0.3348], [0.6674, 0.0000, 0.6652], [0.6643, 0.3357, 0.3357], [0.3326, 0.3348, 0.0000], [0.0000, 0.3357, 0.6643], [0.6674, 0.6652, 0.0000], [0.3357, 0.6643, 0.6643], [0.0000, 0.6643, 0.3357]]}

=====

No. 14
{"formula": "Hg4Br", "functional": "GGA-PBEsol", "state": "relaxed", "polymorph_energy_mev_per_atom": 0, "formation_energy_uncorrected_ev_per_atom": -0.066, "space_group": "I-43m, No. 217", "lattice": [[8.8431, 0.0000, 0.0000], [-2.9477, 8.3374, 0.0000], [-2.9477, -4.1687, 7.2204]], "species": ["Br", "Br", "Br", "Br", "Hg", "Hg", "Hg", "Hg", "Hg", "Hg", "Hg", "Hg", "Hg", "Hg", "Hg", "Hg", "Hg", "Hg", "Hg", "Hg"], "fractional_positions": [[0.0000, 0.4689, 0.0000], [0.5311, 0.5311, 0.5311], [0.0000, 0.0000, 0.4689], [0.4689, 0.0000, 0.0000], [0.0000, 0.7865, 0.0000], [0.2135, 0.2135, 0.2135], [0.0000, 0.0000, 0.7865], [0.7865, 0.0000, 0.0000], [0.6548, 0.6548, 0.0000], [0.3452, 0.3452, 0.0000], [0.0000, 0.6548, 0.6548], [0.0000, 0.3452, 0.3452], [0.3452, 0.0000, 0.3452], [0.6548, 0.0000, 0.6548], [0.7500, 0.2500, 0.5000], [0.2500, 0.7500, 0.5000], [0.5000, 0.7500, 0.2500], [0.5000, 0.2500, 0.7500], [0.7500, 0.5000, 0.2500], [0.2500, 0.5000, 0.7500]]}

=====

No. 15
{"formula": "HgBr5", "functional": "GGA-PBEsol", "state": "relaxed", "polymorph_energy_mev_per_atom": 0, "formation_energy_uncorrected_ev_per_atom": -0.069, "space_group": "Cm, No. 8", "lattice": [[-2.7106, -2.6573, -0.3043], [0.0737, -0.8841, 7.0645], [-3.6874, 6.6187, -1.1247]], "species": ["Hg", "Br", "Br", "Br", "Br", "Br"], "fractional_positions": [[0.2066, 0.0829, 0.4132], [0.9367, 0.8772, 0.8734], [0.4062, 0.1966, 0.8124], [0.6744, 0.8057, 0.3489], [0.6741, 0.3240, 0.3481], [0.9354, 0.5468, 0.8707]]}

=====

No. 16
{"formula": "HgBr5", "functional": "GGA-PBEsol", "state": "relaxed", "polymorph_energy_mev_per_atom": 6, "formation_energy_uncorrected_ev_per_atom": -0.063, "space_group": "Cmmm, No. 65", "lattice": [[3.9220, 0.0000, 0.0000], [-1.9610, 6.2315, 0.0000], [0.0000, 0.0000, 7.2464]], "species": ["Hg", "Br", "Br", "Br", "Br", "Br"], "fractional_positions": [[0.5000, 0.0000, 0.0000], [0.6675, 0.3351, 0.5000], [0.8545, 0.7090, 0.0000], [0.0000, 0.0000, 0.5000], [0.1455, 0.2910, 0.0000], [0.3325, 0.6649, 0.5000]]}

=====

No. 17
{"formula": "Hg5Br", "functional": "GGA-PBEsol", "state": "relaxed", "polymorph_energy_mev_per_atom": 0, "formation_energy_uncorrected_ev_per_atom": -0.086, "space_group": "Cm, No. 8", "lattice": [[4.0998, 0.0000, 0.0000], [0.0000, 6.2301, 0.5780], [-2.0499, -2.0058, 5.8912]], "species": ["Hg", "Hg", "Hg", "Hg", "Hg", "Br"], "fractional_positions": [[0.2832, 0.8939, 0.5664], [0.6616, 0.1059, 0.3233], [0.6423, 0.5850, 0.2846], [0.9720, 0.4999, 0.9440], [0.3017, 0.4151, 0.6035], [0.9725, 0.0002, 0.9449]]}

=====

No. 18
{"formula": "HgBr3", "functional": "GGA-PBEsol", "state": "relaxed", "formation_energy_uncorrected_ev_per_atom": -0.051, "space_group": "Cmmm, No. 65", "lattice": [[-2.8010, 0.8615, -2.6766], [2.7895, -2.8119, -0.8816], [-4.8105, -5.7684, 3.1775]], "species": ["Hg", "Br", "Br", "Br"], "fractional_positions": [[0.5000, 0.0000, 0.5000], [0.0000, 0.0000, 0.7256], [0.5000, 0.0000, 0.0000], [0.0000, 0.0000, 0.2744]]}

=====

No. 19
{"formula": "Hg2Br", "functional": "GGA-PBEsol", "state": "relaxed", "polymorph_energy_mev_per_atom": 14, "formation_energy_uncorrected_ev_per_atom": -0.174, "space_group": "P6_3/mmc, No. 194", "lattice": [[4.0971, 0.0000, 0.0000], [-2.0485, 3.5482, 0.0000], [0.0000, 0.0000, 11.1720]], "species": ["Hg", "Hg", "Hg", "Hg", "Br", "Br"], "fractional_positions": [[0.3333, 0.6667, 0.5719], [0.6667, 0.3333, 0.0719], [0.6667, 0.3333, 0.4281], [0.3333, 0.6667, 0.9281], [0.0000, 0.0000, 0.7500], [0.0000, 0.0000, 0.2500]]}

=====

No. 20
{"formula": "HgBr5", "functional": "GGA-PBEsol", "state": "relaxed", "polymorph_energy_mev_per_atom": 283, "formation_energy_uncorrected_ev_per_atom": 0.214, "space_group": "P-62m, No. 189", "lattice": [[-0.3955, -0.3743, 5.3134], [4.6403, -1.0785, -2.4151], [2.0044, 7.1604, 0.6537]], "species": ["Hg", "Br", "Br", "Br", "Br", "Br"], "fractional_positions": [[0.0000, 0.0000, 0.5000], [0.4233, 0.4233, 0.0000], [0.5767, 0.0000, 0.0000], [0.0000, 0.5767, 0.0000], [0.3333, 0.6667, 0.5000], [0.6667, 0.3333, 0.5000]]}